1.
# Cd6Au

A relaxed structure of Cd6Au (GGA-PBE, Alexandria via LeMat-Bulk).

Energy = -18.6 eV for the cell shown
Excess energy over the best structure of this formula in the dataset = 0.000 eV per atom
ΔE_f = -0.0736 eV/atom

```
Cd6Au
1.0
4.1622 -3.6150 0.0000
4.1622 3.6150 0.0000
0.0000 0.0000 10.2654
Cd Au
12 2
Cartesian
2.6522 2.2514 2.5664 Cd
4.1622 2.6125 6.1685 Cd
4.1622 2.6125 9.2297 Cd
2.6610 0.0000 0.0000 Cd
2.6610 0.0000 5.1327 Cd
5.6721 2.2514 2.5664 Cd
2.6522 -2.2514 7.6991 Cd
5.6633 0.0000 0.0000 Cd
5.6633 0.0000 5.1327 Cd
4.1622 -2.6125 1.0358 Cd
4.1622 -2.6125 4.0970 Cd
5.6721 -2.2514 7.6991 Cd
4.1622 0.1586 7.6991 Au
4.1622 -0.1586 2.5664 Au
```

2.
# In2CoAs

A relaxed structure of In2CoAs (GGA-PBE, Alexandria via LeMat-Bulk).

Energy = -16.1 eV for the cell shown
ΔE_f = 0.2949 eV/atom

```
In2CoAs
1.0
1.6008 0.9242 8.8037
-1.6008 0.9242 8.8037
0.0000 -1.8485 8.8037
In Co As
2 1 1
Cartesian
0.0000 0.0000 6.2998 In
0.0000 0.0000 20.1112 In
0.0000 0.0000 13.2055 Co
0.0000 0.0000 0.0000 As
```

What did the second record say?
# In2CoAs

A relaxed structure of In2CoAs (GGA-PBE, Alexandria via LeMat-Bulk).

Energy = -16.1 eV for the cell shown
ΔE_f = 0.2949 eV/atom

```
In2CoAs
1.0
1.6008 0.9242 8.8037
-1.6008 0.9242 8.8037
0.0000 -1.8485 8.8037
In Co As
2 1 1
Cartesian
0.0000 0.0000 6.2998 In
0.0000 0.0000 20.1112 In
0.0000 0.0000 13.2055 Co
0.0000 0.0000 0.0000 As
```

Number 2 is which compound?
In2CoAs

Among the records above, which one has the lowest energy?
Cd6Au

Which of these has the lowest ΔE_f?
Cd6Au